DFT (PBE with a Hubbard U) results for a geometry-optimized TiVInF2 structure.

Unit cell a=3.9683 b=6.0842 c=3.9683 alpha=90.00 beta=90.00 gamma=90.00
With the nearest neighbours (Å) after each atom.
Sites, in units of the cell vectors:
F 0.0000 0.0000 0.5000  2 Ti 1.98
F 0.5000 0.0000 0.0000  2 Ti 1.98
V 0.0000 0.5000 0.0000  4 In 2.81, 2 Ti 3.04
Ti 0.0000 0.0000 0.0000  4 F 1.98
In 0.5000 0.5000 0.5000  4 V 2.81

The theoretical density comes out at 4.36 Mg/m³. The value obtained for the volume is 19.16 A^3/atom. Its total energy is -0.2006 hartree per atom. The value obtained for the density of states at the Fermi level is 3.48 states/eV/f.u. The magnetization comes out at 2.4 μB/f.u.